Arrangement w

Material: CePuHg2
Method: DFT, PBE
State: relaxed

Properties
**Total magnetization**: 7.16 μB/f.u.
**Volume**: 27.3 A^3/atom

abc: 5.366 5.366 5.366
angles: 60.00 60.00 60.00
Each line ends with the local moment (μB).
Fractional coordinates of all 4 atoms:
Hg1 0.250 0.250 0.250  0.02
Hg2 0.750 0.750 0.750  0.02
Ce1 0.500 0.500 0.500  0.94
Pu1 0.000 0.000 0.000  5.52

---

Arrangement x

Material: CePuHg2
Method: DFT, PBE
State: relaxed

Properties
**Total magnetization**: 6.98 μB/f.u.
**Volume**: 25.7 A^3/atom

abc: 4.720 4.666 4.666
angles: 90.00 90.00 90.00
Each line ends with the local moment (μB).
Fractional coordinates of all 4 atoms:
Hg1 0.000 0.000 0.500  0.00
Hg2 0.000 0.500 0.000  0.00
Ce1 0.500 0.000 0.000  0.93
Pu1 0.500 0.500 0.500  5.53

---

If you had to bet on the most stable structure above, which would it be? Bet on arrangement x.